Entry 1:
Entry from Alexandria via LeMat-Bulk: a geometry-optimized ReTcOs2Pd structure (PBE).

a b c (Å): 4.5958 4.6964 4.5958
angles (deg): 90.00 90.00 90.00
Last column: nearest neighbours and their distance in Å.
Sites, in units of the cell vectors:
Re  0.5000  0.5000  0.5000  4 Pd 3.25, 8 Os 3.29
Os  0.0000  0.0000  0.5000  2 Tc 2.30
Os  0.5000  0.0000  0.0000  2 Tc 2.30
Tc  0.0000  0.0000  0.0000  4 Os 2.30, 2 Pd 2.35
Pd  0.0000  0.5000  0.0000  2 Tc 2.35

Summary:
E_form = 1149.5 kJ/mol of formula units

Entry 2:
Entry from Alexandria via LeMat-Bulk: a geometry-optimized KNd2HgS4 structure (PBE).

a b c (Å): 4.2040 7.3098 14.6581
angles (deg): 90.00 90.00 106.71
Last column: nearest neighbours and their distance in Å.
Sites, in units of the cell vectors:
K  0.1222  0.2444  0.7500  6 S 3.20-3.38
K  0.8778  0.7556  0.2500  6 S 3.20-3.38
Nd  0.3739  0.7477  0.5565  6 S 2.82-3.03
Nd  0.6261  0.2523  0.0565  6 S 2.82-3.03
Nd  0.6261  0.2523  0.4435  6 S 2.82-3.03
Nd  0.3739  0.7477  0.9435  6 S 2.82-3.03
Hg  0.8432  0.6865  0.7500  4 S 2.58-2.61
Hg  0.1568  0.3135  0.2500  4 S 2.58-2.61
S  0.2652  0.5304  0.1051  1 Hg 2.61, 1 Nd 2.82
S  0.7348  0.4696  0.6051  1 Hg 2.61, 1 Nd 2.82
S  0.7348  0.4696  0.8949  1 Hg 2.61, 1 Nd 2.82
S  0.2652  0.5304  0.3949  1 Hg 2.61, 1 Nd 2.82
S  0.0000  0.0000  0.5000  4 Nd 2.87
S  0.0000  0.0000  0.0000  4 Nd 2.87
S  0.4497  0.8994  0.7500  2 Hg 2.58
S  0.5503  0.1006  0.2500  2 Hg 2.58

Summary:
Energy relative to the elements, uncorrected = -11.2 eV per formula unit

Entry 3:
Entry from Alexandria via LeMat-Bulk: a geometry-optimized Li2AlTl structure (PBE).

a b c (Å): 4.1675 4.1675 10.3849
angles (deg): 78.42 78.42 90.00
Last column: nearest neighbours and their distance in Å.
Sites, in units of the cell vectors:
Tl  0.0000  0.0000  0.0000  4 Li 2.91, 4 Al 2.95
Tl  0.7500  0.2500  0.5000  4 Li 2.91, 4 Al 2.95
Al  0.5000  0.5000  0.0000  4 Li 2.88, 4 Tl 2.95
Al  0.2500  0.7500  0.5000  4 Li 2.88, 4 Tl 2.95
Li  0.6131  0.1250  0.2500  2 Al 2.88, 4 Li 2.88-3.02, 2 Tl 2.91
Li  0.1369  0.6250  0.2500  2 Al 2.88, 4 Li 2.88-3.02, 2 Tl 2.91
Li  0.3750  0.3869  0.7500  2 Al 2.88, 4 Li 2.88-3.02, 2 Tl 2.91
Li  0.8750  0.8631  0.7500  2 Al 2.88, 4 Li 2.88-3.02, 2 Tl 2.91

Summary:
E_form = 32.2 kJ/mol of formula units

Entry 4:
Entry from Alexandria via LeMat-Bulk: a geometry-optimized Cs3BaPb structure (PBE).

a b c (Å): 7.5283 7.5283 7.5283
angles (deg): 90.00 90.00 90.00
Last column: nearest neighbours and their distance in Å.
Sites, in units of the cell vectors:
Pb  0.0000  0.0000  0.0000  6 Cs 3.76
Cs  0.0000  0.5000  0.0000  2 Pb 3.76
Cs  0.0000  0.0000  0.5000  2 Pb 3.76
Cs  0.5000  0.0000  0.0000  2 Pb 3.76
Ba  0.5000  0.5000  0.5000  12 Cs 5.32

Summary:
E_form = 107.6 kJ/mol of formula units

Entry 5:
Entry from Alexandria via LeMat-Bulk: a geometry-optimized V4PtW structure (PBE).

a b c (Å): 4.9205 4.9205 4.9205
angles (deg): 60.00 60.00 60.00
Last column: nearest neighbours and their distance in Å.
Sites, in units of the cell vectors:
W  0.0000  0.0000  0.0000  12 V 2.88, 4 Pt 3.01
Pt  0.2500  0.2500  0.2500  12 V 2.89, 4 W 3.01
V  0.6268  0.6268  0.1195  6 V 2.42-2.50
V  0.6268  0.1195  0.6268  6 V 2.42-2.50
V  0.6268  0.6268  0.6268  6 V 2.42-2.50
V  0.1195  0.6268  0.6268  6 V 2.42-2.50

Summary:
E_form = -51.7 kJ/mol of formula units

Entry 6:
Entry from Alexandria via LeMat-Bulk: a geometry-optimized CaTbC2O6 structure (PBE).

a b c (Å): 6.3080 6.3080 6.9092
angles (deg): 100.88 100.88 105.47
Last column: nearest neighbours and their distance in Å.
Sites, in units of the cell vectors:
Ca  0.0990  0.9010  0.2500  6 O 2.43-2.51
Ca  0.9010  0.0990  0.7500  6 O 2.43-2.51
Tb  0.5742  0.4258  0.2500  6 O 2.28-2.35
Tb  0.4258  0.5742  0.7500  6 O 2.28-2.35
C  0.4016  0.1023  0.7637  3 O 1.32-1.34
C  0.8977  0.5984  0.7363  3 O 1.32-1.34
C  0.5984  0.8977  0.2363  3 O 1.32-1.34
C  0.1023  0.4016  0.2637  3 O 1.32-1.34
O  0.9439  0.5009  0.2361  1 C 1.32
O  0.4991  0.0561  0.2639  1 C 1.32
O  0.0561  0.4991  0.7639  1 C 1.32
O  0.5009  0.9439  0.7361  1 C 1.32
O  0.1142  0.2358  0.1194  1 C 1.33
O  0.7642  0.8858  0.3806  1 C 1.33
O  0.8858  0.7642  0.8806  1 C 1.33
O  0.2358  0.1142  0.6194  1 C 1.33
O  0.2971  0.5191  0.4035  1 C 1.34
O  0.4809  0.7029  0.0965  1 C 1.34
O  0.7029  0.4809  0.5965  1 C 1.34
O  0.5191  0.2971  0.9035  1 C 1.34

Summary:
Energy relative to the elements, uncorrected = -20.9 eV per formula unit

Please write out number 6 again, unchanged.
Entry from Alexandria via LeMat-Bulk: a geometry-optimized CaTbC2O6 structure (PBE).

a b c (Å): 6.3080 6.3080 6.9092
angles (deg): 100.88 100.88 105.47
Last column: nearest neighbours and their distance in Å.
Sites, in units of the cell vectors:
Ca  0.0990  0.9010  0.2500  6 O 2.43-2.51
Ca  0.9010  0.0990  0.7500  6 O 2.43-2.51
Tb  0.5742  0.4258  0.2500  6 O 2.28-2.35
Tb  0.4258  0.5742  0.7500  6 O 2.28-2.35
C  0.4016  0.1023  0.7637  3 O 1.32-1.34
C  0.8977  0.5984  0.7363  3 O 1.32-1.34
C  0.5984  0.8977  0.2363  3 O 1.32-1.34
C  0.1023  0.4016  0.2637  3 O 1.32-1.34
O  0.9439  0.5009  0.2361  1 C 1.32
O  0.4991  0.0561  0.2639  1 C 1.32
O  0.0561  0.4991  0.7639  1 C 1.32
O  0.5009  0.9439  0.7361  1 C 1.32
O  0.1142  0.2358  0.1194  1 C 1.33
O  0.7642  0.8858  0.3806  1 C 1.33
O  0.8858  0.7642  0.8806  1 C 1.33
O  0.2358  0.1142  0.6194  1 C 1.33
O  0.2971  0.5191  0.4035  1 C 1.34
O  0.4809  0.7029  0.0965  1 C 1.34
O  0.7029  0.4809  0.5965  1 C 1.34
O  0.5191  0.2971  0.9035  1 C 1.34

Summary:
Energy relative to the elements, uncorrected = -20.9 eV per formula unit